The following is a GGA+U calculation of a geometry-optimized Cr2BrF structure, from Alexandria via LeMat-Bulk.

## Properties
DOS(E_F) ... 0.492 states/eV/f.u.
Final energy ... -5.238 eV/atom
Energy above the most stable polymorph in this dataset ... 0.150 eV/atom

Unit cell a=6.610 b=6.610 c=6.610 alpha=90.00 beta=90.00 gamma=90.00
Positions (direct):
Cr  0.250  0.250  0.250
Cr  0.250  0.250  0.750
Cr  0.250  0.750  0.250
Cr  0.250  0.750  0.750
Cr  0.750  0.250  0.250
Cr  0.750  0.250  0.750
Cr  0.750  0.750  0.250
Cr  0.750  0.750  0.750
Br  0.000  0.000  0.000
Br  0.000  0.500  0.500
Br  0.500  0.000  0.500
Br  0.500  0.500  0.000
F  0.000  0.000  0.500
F  0.000  0.500  0.000
F  0.500  0.000  0.000
F  0.500  0.500  0.500